MgReMo2S | the Alexandria database | PBE | relaxed; space-group type = P4/mmm, No. 123; formation energy (no corrections) = 1.268 eV per atom; magnetic moment = 2.9 μB per formula unit
1.0
4.906 0.000 0.000
0.000 4.443 0.000
0.000 0.000 4.906
Mg Re Mo S
1 1 2 1
direct
0.500 0.500 0.500
0.000 0.000 0.000
0.000 0.000 0.500
0.500 0.000 0.000
0.000 0.500 0.000

MgReTcMo2 | the Alexandria database | PBE | relaxed; space-group type = P4/mmm, No. 123; magnetic moment = 0.0 μB per formula unit; final energy = -34.54 eV for the cell shown
1.0
-1.575 3.401 2.399
0.906 -2.225 3.749
4.062 1.814 0.095
Mg Re Mo Tc
1 1 2 1
direct
0.000 0.000 0.000
0.000 0.500 0.000
0.000 0.000 0.500
0.500 0.000 0.000
0.500 0.500 0.500

MgReTe2Mo | the Alexandria database | PBE | relaxed; space-group type = P4/mmm, No. 123; formation energy (no corrections) = 2.035 eV per atom; magnetic moment = 4.4 μB per formula unit
1.0
-4.163 1.321 -2.618
-0.908 -4.585 -0.870
-2.767 -0.261 4.267
Re Mo Te Mg
1 1 2 1
direct
0.500 0.500 0.500
0.000 0.500 0.000
0.000 0.000 0.500
0.500 0.000 0.000
0.000 0.000 0.000

MgRe2MoW | the Alexandria database | PBE | relaxed; space-group type = P4/mmm, No. 123; magnetic moment = 0.0 μB per formula unit; final energy = -38.28 eV for the cell shown
1.0
-2.068 -3.882 -0.469
-0.222 -0.420 4.460
-3.904 2.080 0.002
Re Mo Mg W
2 1 1 1
direct
0.000 0.000 0.500
0.500 0.000 0.000
0.500 0.500 0.500
0.000 0.000 0.000
0.000 0.500 0.000

Please write out number 4 again, unchanged.
MgRe2MoW | the Alexandria database | PBE | relaxed; space-group type = P4/mmm, No. 123; magnetic moment = 0.0 μB per formula unit; final energy = -38.28 eV for the cell shown
1.0
-2.068 -3.882 -0.469
-0.222 -0.420 4.460
-3.904 2.080 0.002
Re Mo Mg W
2 1 1 1
direct
0.000 0.000 0.500
0.500 0.000 0.000
0.500 0.500 0.500
0.000 0.000 0.000
0.000 0.500 0.000

What is the magnetic moment in the fourth record? 0.0 μB per formula unit